# Pm2Nd8Er (PBE, relaxed)
# Calculated formation energy ... 139 meV per atom
# Total magnetization ... 0.0 μB per cell
data_Pm2Nd8Er
_chemical_formula_sum 'Pm4 Nd16 Er2'
_cell_length_a 9.206
_cell_length_b 16.669
_cell_length_c 6.018
_cell_angle_alpha 90.00
_cell_angle_beta 123.23
_cell_angle_gamma 90.00
_space_group_name_H-M_alt 'C 1 2/m 1'
_space_group_IT_number 12
loop_
_space_group_symop_operation_xyz
'x,y,z'
'-x,-y,-z'
'-x,y,-z'
'x,-y,z'
'x+1/2,y+1/2,z'
'-x+1/2,-y+1/2,-z'
'-x+1/2,y+1/2,-z'
'x+1/2,-y+1/2,z'
loop_
_atom_site_label
_atom_site_fract_x
_atom_site_fract_y
_atom_site_fract_z
Pm1 0.000 0.192 0.000
Nd1 0.000 0.295 0.500
Nd2 0.079 0.000 0.297
Nd3 0.215 0.384 0.178
Er1 0.000 0.500 0.500